Entry from Alexandria: a relaxed CsAlTe3Au crystal (PBE).

Formation energy from raw total energies, eV/f.u.: -2.593
Crystal system: monoclinic

a = 9.864 Å, b = 9.864 Å, c = 8.740 Å
α = 92.86°, β = 92.86°, γ = 41.99°
Atoms (fractional coordinates):
Cs  0.226  0.226  0.264
Cs  0.774  0.774  0.736
Al  0.065  0.065  0.726
Al  0.935  0.935  0.274
Te  0.199  0.199  0.734
Te  0.232  0.705  0.789
Te  0.295  0.768  0.211
Te  0.705  0.232  0.789
Te  0.768  0.295  0.211
Te  0.801  0.801  0.266
Au  0.229  0.771  0.500
Au  0.771  0.229  0.500

Entry from Alexandria: a relaxed BaCdSbH2 crystal (PBE).

Total energy, eV/atom: -3.038
Crystal system: orthorhombic

a = 6.568 Å, b = 6.568 Å, c = 7.079 Å
α = 90.00°, β = 90.00°, γ = 136.90°
Atoms (fractional coordinates):
Ba  0.219  0.781  0.750
Ba  0.781  0.219  0.250
Cd  0.500  0.500  0.000
Cd  0.500  0.500  0.500
Sb  0.060  0.940  0.250
Sb  0.940  0.060  0.750
H  0.344  0.656  0.062
H  0.344  0.656  0.438
H  0.656  0.344  0.562
H  0.656  0.344  0.938

Entry from Alexandria: a relaxed BaNiTe2 crystal (PBE).

Formation energy from raw total energies, eV/f.u.: -0.905
Crystal system: orthorhombic

a = 5.235 Å, b = 5.235 Å, c = 4.340 Å
α = 90.00°, β = 90.00°, γ = 98.33°
Atoms (fractional coordinates):
Ba  0.000  0.000  0.000
Ni  0.500  0.500  0.000
Te  0.000  0.500  0.500
Te  0.500  0.000  0.500

Entry from Alexandria: a relaxed Mg3Ag5H12 crystal (PBE).

Total energy, eV/atom: -2.786
Crystal system: cubic

a = 10.216 Å, b = 10.216 Å, c = 10.216 Å
α = 109.47°, β = 109.47°, γ = 109.47°
Atoms (fractional coordinates):
Mg  0.125  0.250  0.375
Mg  0.125  0.375  0.750
Mg  0.250  0.375  0.125
Mg  0.250  0.875  0.625
Mg  0.375  0.125  0.250
Mg  0.375  0.750  0.125
Mg  0.625  0.250  0.875
Mg  0.625  0.875  0.750
Mg  0.750  0.125  0.375
Mg  0.750  0.625  0.875
Mg  0.875  0.625  0.250
Mg  0.875  0.750  0.625
Ag  0.000  0.000  0.000
Ag  0.000  0.000  0.500
Ag  0.000  0.500  0.000
Ag  0.000  0.500  0.500
Ag  0.125  0.750  0.875
Ag  0.125  0.875  0.250
Ag  0.250  0.125  0.875
Ag  0.250  0.625  0.375
Ag  0.375  0.250  0.625
Ag  0.375  0.625  0.750
Ag  0.500  0.000  0.000
Ag  0.500  0.000  0.500
Ag  0.500  0.500  0.000
Ag  0.500  0.500  0.500
Ag  0.625  0.375  0.250
Ag  0.625  0.750  0.375
Ag  0.750  0.375  0.625
Ag  0.750  0.875  0.125
Ag  0.875  0.125  0.750
Ag  0.875  0.250  0.125
H  0.048  0.222  0.144
H  0.048  0.327  0.905
H  0.078  0.722  0.673
H  0.078  0.856  0.405
H  0.095  0.644  0.422
H  0.095  0.952  0.673
H  0.144  0.048  0.222
H  0.144  0.595  0.922
H  0.173  0.222  0.578
H  0.173  0.452  0.595
H  0.222  0.144  0.048
H  0.222  0.578  0.173
H  0.278  0.327  0.922
H  0.278  0.452  0.356
H  0.327  0.905  0.048
H  0.327  0.922  0.278
H  0.356  0.278  0.452
H  0.356  0.578  0.905
H  0.405  0.078  0.856
H  0.405  0.827  0.548
H  0.422  0.095  0.644
H  0.422  0.827  0.778
H  0.452  0.356  0.278
H  0.452  0.595  0.173
H  0.548  0.405  0.827
H  0.548  0.644  0.722
H  0.578  0.173  0.222
H  0.578  0.905  0.356
H  0.595  0.173  0.452
H  0.595  0.922  0.144
H  0.644  0.422  0.095
H  0.644  0.722  0.548
H  0.673  0.078  0.722
H  0.673  0.095  0.952
H  0.722  0.548  0.644
H  0.722  0.673  0.078
H  0.778  0.422  0.827
H  0.778  0.856  0.952
H  0.827  0.548  0.405
H  0.827  0.778  0.422
H  0.856  0.405  0.078
H  0.856  0.952  0.778
H  0.905  0.048  0.327
H  0.905  0.356  0.578
H  0.922  0.144  0.595
H  0.922  0.278  0.327
H  0.952  0.673  0.095
H  0.952  0.778  0.856

Entry from Alexandria: a relaxed NbRhN3 crystal (PBE).

Formation energy from raw total energies, eV/f.u.: 5.925
Crystal system: cubic

a = 3.814 Å, b = 3.814 Å, c = 3.814 Å
α = 90.00°, β = 90.00°, γ = 90.00°
Atoms (fractional coordinates):
Nb  0.000  0.000  0.000
Rh  0.500  0.500  0.500
N  0.000  0.500  0.500
N  0.500  0.000  0.500
N  0.500  0.500  0.000

Entry from Alexandria: a relaxed LiNbGa2 crystal (PBE).

Total energy, eV/atom: -4.806
Crystal system: tetragonal

a = 4.701 Å, b = 4.701 Å, c = 2.936 Å
α = 90.00°, β = 90.00°, γ = 90.00°
Atoms (fractional coordinates):
Li  0.000  0.000  0.000
Nb  0.500  0.500  0.000
Ga  0.000  0.500  0.500
Ga  0.500  0.000  0.500

Entry from Alexandria: a relaxed Er4SnBi2As crystal (PBE).

Total energy, eV/atom: -5.214
Crystal system: monoclinic

a = 7.469 Å, b = 4.272 Å, c = 7.626 Å
α = 90.00°, β = 108.77°, γ = 90.00°
Atoms (fractional coordinates):
Er  0.228  0.000  0.233
Er  0.237  0.500  0.757
Er  0.763  0.500  0.243
Er  0.772  0.000  0.767
Sn  0.000  0.000  0.500
Bi  0.500  0.000  0.000
Bi  0.500  0.500  0.500
As  0.000  0.500  0.000

Entry from Alexandria: a relaxed BaSmZnAg crystal (PBE).

Total energy, eV/atom: -2.802
Crystal system: cubic

a = 5.493 Å, b = 5.493 Å, c = 5.493 Å
α = 60.00°, β = 60.00°, γ = 60.00°
Atoms (fractional coordinates):
Ba  0.000  0.000  0.000
Sm  0.500  0.500  0.500
Zn  0.750  0.750  0.750
Ag  0.250  0.250  0.250

Entry from Alexandria: a relaxed CaGeRh2 crystal (PBE).

Total energy, eV/atom: -5.794
Crystal system: tetragonal

a = 4.030 Å, b = 4.030 Å, c = 9.345 Å
α = 90.00°, β = 90.00°, γ = 90.00°
Atoms (fractional coordinates):
Ca  0.250  0.250  0.209
Ca  0.750  0.750  0.791
Ge  0.250  0.250  0.652
Ge  0.750  0.750  0.348
Rh  0.250  0.250  0.907
Rh  0.250  0.750  0.500
Rh  0.750  0.250  0.500
Rh  0.750  0.750  0.093

Entry from Alexandria: a relaxed Ac2SnS5 crystal (PBE).

Formation energy from raw total energies, eV/f.u.: -10.782
Crystal system: orthorhombic

a = 7.799 Å, b = 7.799 Å, c = 13.455 Å
α = 90.00°, β = 90.00°, γ = 139.19°
Atoms (fractional coordinates):
Ac  0.146  0.854  0.572
Ac  0.146  0.854  0.928
Ac  0.854  0.146  0.072
Ac  0.854  0.146  0.428
Sn  0.168  0.832  0.250
Sn  0.832  0.168  0.750
S  0.048  0.952  0.118
S  0.048  0.952  0.382
S  0.283  0.717  0.750
S  0.285  0.715  0.101
S  0.285  0.715  0.399
S  0.715  0.285  0.601
S  0.715  0.285  0.899
S  0.717  0.283  0.250
S  0.952  0.048  0.618
S  0.952  0.048  0.882

Entry from Alexandria: a relaxed Tl2TeAs crystal (PBE).

Formation energy from raw total energies, eV/f.u.: 0.513
Crystal system: tetragonal

a = 4.169 Å, b = 4.169 Å, c = 6.605 Å
α = 90.00°, β = 90.00°, γ = 90.00°
Atoms (fractional coordinates):
Tl  0.000  0.000  0.240
Tl  0.000  0.000  0.760
Te  0.500  0.500  0.500
As  0.500  0.500  0.000

Entry from Alexandria: a relaxed NdSmIn2 crystal (PBE).

Total energy, eV/atom: -4.236
Crystal system: tetragonal

a = 3.855 Å, b = 3.855 Å, c = 7.702 Å
α = 90.00°, β = 90.00°, γ = 90.00°
Atoms (fractional coordinates):
Nd  0.000  0.000  0.000
Sm  0.000  0.000  0.500
In  0.500  0.500  0.255
In  0.500  0.500  0.745